(1)
## LiTb4Nd3Se8 (PBE-GGA)

Data for a geometry-optimized LiTb4Nd3Se8 structure.

Cell: 8.286 8.286 8.286 Å, 59.91 59.91 59.91°
Fractional positions:
Li 0.000 0.000 0.000
Tb 0.000 0.000 0.500
Tb 0.000 0.500 0.000
Tb 0.500 0.000 0.000
Tb 0.500 0.500 0.500
Nd 0.000 0.500 0.500
Nd 0.500 0.000 0.500
Nd 0.500 0.500 0.000
Se 0.238 0.754 0.754
Se 0.246 0.246 0.246
Se 0.246 0.246 0.762
Se 0.246 0.762 0.246
Se 0.754 0.238 0.754
Se 0.754 0.754 0.238
Se 0.754 0.754 0.754
Se 0.762 0.246 0.246

Computed properties:
Its density of states at the Fermi level is 0.51 states/eV/atom. The space-group type is R-3m, No. 166. The raw formation energy is -28.43 eV/f.u.

***

(2)
## LiTb2Nd3Se6 (PBE-GGA)

Data for a geometry-optimized LiTb2Nd3Se6 structure.

Cell: 7.152 7.152 7.229 Å, 99.53 99.53 120.14°
Fractional positions:
Li 0.000 0.000 0.000
Tb 0.335 0.665 0.000
Tb 0.665 0.335 0.000
Nd 0.167 0.833 0.500
Nd 0.500 0.500 0.500
Nd 0.833 0.167 0.500
Se 0.077 0.403 0.234
Se 0.246 0.246 0.768
Se 0.403 0.077 0.234
Se 0.597 0.923 0.766
Se 0.754 0.754 0.232
Se 0.923 0.597 0.766

Computed properties:
Its density of states at the Fermi level is 0.42 states/eV/atom. The space-group type is C2/m, No. 12. The raw formation energy is -21.43 eV/f.u.

***

(3)
## Li3Tb2NdSe6 (PBE-GGA)

Data for a geometry-optimized Li3Tb2NdSe6 structure.

Cell: 7.152 7.152 6.935 Å, 99.88 99.88 120.01°
Fractional positions:
Li 0.000 0.000 0.000
Li 0.332 0.668 0.000
Li 0.668 0.332 0.000
Tb 0.167 0.833 0.500
Tb 0.833 0.167 0.500
Nd 0.500 0.500 0.500
Se 0.075 0.415 0.245
Se 0.245 0.245 0.757
Se 0.415 0.075 0.245
Se 0.585 0.925 0.755
Se 0.755 0.755 0.243
Se 0.925 0.585 0.755

Computed properties:
Its density of states at the Fermi level is 0.00 states/eV/atom. The space-group type is C2/m, No. 12. The raw formation energy is -20.20 eV/f.u.

***

(4)
## Li3TbNd2Se6 (PBE-GGA)

Data for a geometry-optimized Li3TbNd2Se6 structure.

Cell: 7.221 7.221 6.954 Å, 99.95 99.95 120.01°
Fractional positions:
Li 0.000 0.000 0.000
Li 0.336 0.664 0.000
Li 0.664 0.336 0.000
Tb 0.500 0.500 0.500
Nd 0.167 0.833 0.500
Nd 0.833 0.167 0.500
Se 0.088 0.414 0.242
Se 0.259 0.259 0.757
Se 0.414 0.088 0.242
Se 0.586 0.912 0.758
Se 0.741 0.741 0.243
Se 0.912 0.586 0.758

Computed properties:
Its density of states at the Fermi level is 0.00 states/eV/atom. The space-group type is C2/m, No. 12. The raw formation energy is -20.06 eV/f.u.

***

(5)
## LiTbNd2Se5 (PBE-GGA)

Data for a geometry-optimized LiTbNd2Se5 structure.

Cell: 8.909 8.909 12.486 Å, 90.00 90.00 153.06°
Fractional positions:
Li 0.014 0.986 0.500
Li 0.986 0.014 0.000
Tb 0.303 0.697 0.021
Tb 0.697 0.303 0.521
Nd 0.375 0.625 0.315
Nd 0.392 0.608 0.704
Nd 0.608 0.392 0.204
Nd 0.625 0.375 0.815
Se 0.001 0.999 0.303
Se 0.138 0.862 0.016
Se 0.192 0.808 0.361
Se 0.214 0.786 0.680
Se 0.454 0.546 0.091
Se 0.546 0.454 0.591
Se 0.786 0.214 0.180
Se 0.808 0.192 0.861
Se 0.862 0.138 0.516
Se 0.999 0.001 0.803

Computed properties:
The space-group type is Cmc2_1, No. 36. The raw formation energy is -15.77 eV/f.u.

***

(6)
## LiNdTeSe (PBE-GGA)

Data for a geometry-optimized LiNdTeSe structure.

Cell: 4.748 4.748 9.725 Å, 90.00 90.00 90.00°
Fractional positions:
Li 0.250 0.750 0.000
Li 0.750 0.250 0.000
Nd 0.250 0.250 0.331
Nd 0.750 0.750 0.669
Te 0.250 0.250 0.841
Te 0.750 0.750 0.159
Se 0.250 0.750 0.500
Se 0.750 0.250 0.500

Computed properties:
The space-group type is P4/nmm, No. 129. The raw formation energy is -5.29 eV/f.u.

***

(7)
## Li3Nd2ThSe6 (PBE-GGA)

Data for a geometry-optimized Li3Nd2ThSe6 structure.

Cell: 7.219 7.219 6.989 Å, 99.92 99.92 120.01°
Fractional positions:
Li 0.000 0.000 0.000
Li 0.333 0.667 0.000
Li 0.667 0.333 0.000
Nd 0.167 0.833 0.500
Nd 0.833 0.167 0.500
Th 0.500 0.500 0.500
Se 0.083 0.412 0.235
Se 0.259 0.259 0.763
Se 0.412 0.083 0.235
Se 0.588 0.917 0.765
Se 0.741 0.741 0.237
Se 0.917 0.588 0.765

Computed properties:
Its density of states at the Fermi level is 0.32 states/eV/atom. The space-group type is C2/m, No. 12. The raw formation energy is -19.28 eV/f.u.

***

(8)
## LiNdThSe3 (PBE-GGA)

Data for a geometry-optimized LiNdThSe3 structure.

Cell: 8.764 4.012 8.903 Å, 90.00 104.46 90.00°
Fractional positions:
Li 0.085 0.250 0.087
Li 0.915 0.750 0.913
Nd 0.192 0.250 0.726
Nd 0.808 0.750 0.274
Th 0.349 0.750 0.354
Th 0.651 0.250 0.646
Se 0.094 0.250 0.372
Se 0.213 0.750 0.004
Se 0.428 0.750 0.707
Se 0.572 0.250 0.293
Se 0.787 0.250 0.996
Se 0.906 0.750 0.628

Computed properties:
Its density of states at the Fermi level is 0.29 states/eV/atom. The space-group type is P2_1/m, No. 11. The raw formation energy is -9.38 eV/f.u.

***

(9)
## LiNd2ThSe5 (PBE-GGA)

Data for a geometry-optimized LiNd2ThSe5 structure.

Cell: 8.997 8.997 12.683 Å, 90.00 90.00 153.39°
Fractional positions:
Li 0.011 0.989 0.500
Li 0.989 0.011 0.000
Nd 0.375 0.625 0.320
Nd 0.390 0.610 0.710
Nd 0.610 0.390 0.210
Nd 0.625 0.375 0.820
Th 0.304 0.696 0.025
Th 0.696 0.304 0.525
Se 0.001 0.999 0.807
Se 0.138 0.862 0.023
Se 0.189 0.811 0.361
Se 0.211 0.789 0.691
Se 0.456 0.544 0.093
Se 0.544 0.456 0.593
Se 0.789 0.211 0.191
Se 0.811 0.189 0.861
Se 0.862 0.138 0.523
Se 0.999 0.001 0.307

Computed properties:
Its density of states at the Fermi level is 0.15 states/eV/atom. The space-group type is Cmc2_1, No. 36. The raw formation energy is -15.11 eV/f.u.

***

(10)
## LiNd2ThSe4 (PBE-GGA)

Data for a geometry-optimized LiNd2ThSe4 structure.

Cell: 7.209 4.170 7.240 Å, 90.00 109.10 90.00°
Fractional positions:
Li 0.000 0.000 0.000
Nd 0.500 0.000 0.500
Nd 0.500 0.500 0.000
Th 0.000 0.500 0.500
Se 0.236 0.500 0.239
Se 0.239 0.000 0.759
Se 0.761 0.000 0.241
Se 0.764 0.500 0.761

Computed properties:
Its density of states at the Fermi level is 0.54 states/eV/atom. The space-group type is P2/m, No. 10. The raw formation energy is -13.44 eV/f.u.

***

(11)
## LiNd3Tm3Se8 (PBE-GGA)

Data for a geometry-optimized LiNd3Tm3Se8 structure.

Cell: 8.237 8.237 8.237 Å, 59.35 59.35 59.35°
Fractional positions:
Li 0.000 0.000 0.000
Nd 0.000 0.000 0.500
Nd 0.000 0.500 0.000
Nd 0.500 0.000 0.000
Tm 0.000 0.500 0.500
Tm 0.500 0.000 0.500
Tm 0.500 0.500 0.000
Se 0.246 0.246 0.743
Se 0.246 0.743 0.246
Se 0.256 0.256 0.256
Se 0.257 0.754 0.754
Se 0.743 0.246 0.246
Se 0.744 0.744 0.744
Se 0.754 0.257 0.754
Se 0.754 0.754 0.257

Computed properties:
Its density of states at the Fermi level is 0.30 states/eV/atom. The space-group type is R-3m, No. 166. The raw formation energy is -26.74 eV/f.u.

***

(12)
## Li2NdTmSe4 (PBE-GGA)

Data for a geometry-optimized Li2NdTmSe4 structure.

Cell: 6.929 4.115 7.131 Å, 90.00 110.02 90.00°
Fractional positions:
Li 0.000 0.000 0.000
Li 0.000 0.500 0.500
Nd 0.500 0.000 0.500
Tm 0.500 0.500 0.000
Se 0.243 0.500 0.237
Se 0.248 0.000 0.759
Se 0.752 0.000 0.241
Se 0.757 0.500 0.763

Computed properties:
Its density of states at the Fermi level is 0.00 states/eV/atom. The space-group type is P2/m, No. 10. The raw formation energy is -13.36 eV/f.u.

***

(13)
## LiNd3Tm2Se6 (PBE-GGA)

Data for a geometry-optimized LiNd3Tm2Se6 structure.

Cell: 7.061 7.061 7.236 Å, 99.38 99.38 120.10°
Fractional positions:
Li 0.000 0.000 0.000
Nd 0.165 0.835 0.500
Nd 0.500 0.500 0.500
Nd 0.835 0.165 0.500
Tm 0.335 0.665 0.000
Tm 0.665 0.335 0.000
Se 0.076 0.404 0.229
Se 0.251 0.251 0.774
Se 0.404 0.076 0.229
Se 0.596 0.924 0.771
Se 0.749 0.749 0.226
Se 0.924 0.596 0.771

Computed properties:
Its density of states at the Fermi level is 0.42 states/eV/atom. The space-group type is C2/m, No. 12. The raw formation energy is -21.11 eV/f.u.

***

(14)
## LiNdTm2Se4 (PBE-GGA)

Data for a geometry-optimized LiNdTm2Se4 structure.

Cell: 7.063 4.045 7.082 Å, 90.00 109.09 90.00°
Fractional positions:
Li 0.000 0.000 0.000
Nd 0.500 0.500 0.000
Tm 0.000 0.500 0.500
Tm 0.500 0.000 0.500
Se 0.236 0.000 0.740
Se 0.244 0.500 0.255
Se 0.756 0.500 0.745
Se 0.764 0.000 0.260

Computed properties:
Its density of states at the Fermi level is 0.31 states/eV/atom. The space-group type is P2/m, No. 10. The raw formation energy is -13.76 eV/f.u.

***

(15)
## LiNd2USe6 (PBE-GGA)

Data for a geometry-optimized LiNd2USe6 structure.

Cell: 7.055 7.055 5.882 Å, 90.00 90.00 90.00°
Fractional positions:
Li 0.000 0.000 0.000
Nd 0.000 0.500 0.425
Nd 0.500 0.000 0.425
U 0.500 0.500 0.078
Se 0.000 0.000 0.589
Se 0.238 0.238 0.144
Se 0.238 0.762 0.144
Se 0.500 0.500 0.597
Se 0.762 0.238 0.144
Se 0.762 0.762 0.144

Computed properties:
Its density of states at the Fermi level is 0.08 states/eV/atom. The space-group type is P4mm, No. 99. The raw formation energy is -11.93 eV/f.u.

***

(16)
## Li4Nd3USe8 (PBE-GGA)

Data for a geometry-optimized Li4Nd3USe8 structure.

Cell: 8.117 8.117 8.117 Å, 61.89 61.89 61.89°
Fractional positions:
Li 0.000 0.000 0.000
Li 0.000 0.500 0.500
Li 0.500 0.000 0.500
Li 0.500 0.500 0.000
Nd 0.000 0.000 0.500
Nd 0.000 0.500 0.000
Nd 0.500 0.000 0.000
U 0.500 0.500 0.500
Se 0.250 0.250 0.740
Se 0.250 0.740 0.250
Se 0.254 0.254 0.254
Se 0.260 0.750 0.750
Se 0.740 0.250 0.250
Se 0.746 0.746 0.746
Se 0.750 0.260 0.750
Se 0.750 0.750 0.260

Computed properties:
Its density of states at the Fermi level is 0.44 states/eV/atom. The space-group type is R-3m, No. 166. The raw formation energy is -24.47 eV/f.u.

***

(17)
## Li3Nd3USe8 (PBE-GGA)

Data for a geometry-optimized Li3Nd3USe8 structure.

Cell: 8.115 8.115 8.115 Å, 62.53 62.53 62.53°
Fractional positions:
Li 0.000 0.500 0.500
Li 0.500 0.000 0.500
Li 0.500 0.500 0.000
Nd 0.000 0.000 0.500
Nd 0.000 0.500 0.000
Nd 0.500 0.000 0.000
U 0.500 0.500 0.500
Se 0.253 0.253 0.253
Se 0.257 0.257 0.736
Se 0.257 0.736 0.257
Se 0.264 0.743 0.743
Se 0.736 0.257 0.257
Se 0.743 0.264 0.743
Se 0.743 0.743 0.264
Se 0.747 0.747 0.747

Computed properties:
Its density of states at the Fermi level is 0.37 states/eV/atom. The space-group type is R-3m, No. 166. The raw formation energy is -23.21 eV/f.u.

***

(18)
## LiNd2USe4 (PBE-GGA)

Data for a geometry-optimized LiNd2USe4 structure.

Cell: 7.174 4.125 7.183 Å, 90.00 109.28 90.00°
Fractional positions:
Li 0.000 0.000 0.000
Nd 0.500 0.000 0.500
Nd 0.500 0.500 0.000
U 0.000 0.500 0.500
Se 0.234 0.500 0.240
Se 0.236 0.000 0.752
Se 0.764 0.000 0.248
Se 0.766 0.500 0.760

Computed properties:
Its density of states at the Fermi level is 0.83 states/eV/atom. The space-group type is P2/m, No. 10. The raw formation energy is -12.21 eV/f.u.

***

(19)
## LiNd4Y3Se8 (PBE-GGA)

Data for a geometry-optimized LiNd4Y3Se8 structure.

Cell: 8.325 8.325 8.325 Å, 59.47 59.47 59.47°
Fractional positions:
Li 0.000 0.000 0.000
Nd 0.000 0.000 0.500
Nd 0.000 0.500 0.000
Nd 0.500 0.000 0.000
Nd 0.500 0.500 0.500
Y 0.000 0.500 0.500
Y 0.500 0.000 0.500
Y 0.500 0.500 0.000
Se 0.241 0.241 0.751
Se 0.241 0.751 0.241
Se 0.249 0.759 0.759
Se 0.254 0.254 0.254
Se 0.746 0.746 0.746
Se 0.751 0.241 0.241
Se 0.759 0.249 0.759
Se 0.759 0.759 0.249

Computed properties:
Its density of states at the Fermi level is 0.50 states/eV/atom. The space-group type is R-3m, No. 166. The raw formation energy is -28.58 eV/f.u.

***

(20)
## LiNdYSe3 (PBE-GGA)

Data for a geometry-optimized LiNdYSe3 structure.

Cell: 8.471 4.027 8.857 Å, 90.00 102.97 90.00°
Fractional positions:
Li 0.086 0.250 0.085
Li 0.914 0.750 0.915
Nd 0.189 0.250 0.726
Nd 0.811 0.750 0.274
Y 0.335 0.750 0.337
Y 0.665 0.250 0.663
Se 0.095 0.250 0.370
Se 0.221 0.750 0.000
Se 0.431 0.750 0.674
Se 0.569 0.250 0.326
Se 0.779 0.250 0.000
Se 0.905 0.750 0.630

Computed properties:
Its density of states at the Fermi level is 0.35 states/eV/atom. The space-group type is P2_1/m, No. 11. The raw formation energy is -10.06 eV/f.u.